Entry i
DFT (PBE) results for a relaxed structure of CdPdN2F.

Output
The value obtained for the calculated density is 6.278 g/cm3.

Cell and atoms, written as POSCAR:
```
CdPdN2F
1.0
4.001 0.000 0.000
0.000 4.001 0.000
0.000 0.000 4.393
Cd Pd N F
1 1 2 1
Direct
0.000 0.000 0.000
0.500 0.500 0.500
0.000 0.500 0.500
0.500 0.000 0.500
0.500 0.500 0.000
```

***

Entry ii
DFT (PBE) results for a relaxed structure of CdPdN2F.

Output
The value obtained for the calculated density is 5.427 g/cm3.

Cell and atoms, written as POSCAR:
```
CdPdN2F
1.0
4.275 0.000 0.000
0.000 4.275 0.000
0.000 0.000 4.450
Cd Pd N F
1 1 2 1
Direct
0.000 0.000 0.000
0.500 0.500 0.500
0.000 0.500 0.000
0.500 0.000 0.000
0.000 0.000 0.500
```

***

What should be chosen as the least stable of them? Choose entry ii.

***

Entry i
DFT (PBE) results for a relaxed structure of RbCdN2F.

Output
The value obtained for the calculated density is 2.322 g/cm3.

Cell and atoms, written as POSCAR:
```
RbCdN2F
1.0
5.899 0.000 0.000
0.000 5.899 0.000
0.000 0.000 5.033
Rb Cd N F
1 1 2 1
Direct
0.000 0.000 0.000
0.500 0.500 0.500
0.000 0.500 0.000
0.500 0.000 0.000
0.000 0.000 0.500
```

***

Entry ii
DFT (PBE) results for a relaxed structure of RbCdN2F.

Output
The value obtained for the calculated density is 4.214 g/cm3.

Cell and atoms, written as POSCAR:
```
RbCdN2F
1.0
4.436 0.000 0.000
0.000 4.436 0.000
0.000 0.000 4.904
Rb Cd N F
1 1 2 1
Direct
0.000 0.000 0.000
0.500 0.500 0.500
0.000 0.500 0.500
0.500 0.000 0.500
0.500 0.500 0.000
```

***

What should be chosen as the least stable of them? Choose entry i.

***

Entry i
DFT (PBE) results for a relaxed structure of RbCdNF2.

Output
The value obtained for the calculated density is 4.239 g/cm3.

Cell and atoms, written as POSCAR:
```
RbCdNF2
1.0
4.703 0.000 0.000
0.000 4.703 0.000
0.000 0.000 4.425
Rb Cd N F
1 1 1 2
Direct
0.000 0.000 0.000
0.500 0.500 0.500
0.500 0.500 0.000
0.000 0.500 0.500
0.500 0.000 0.500
```

***

Entry ii
DFT (PBE) results for a relaxed structure of RbCdNF2.

Output
The value obtained for the calculated density is 2.990 g/cm3.

Cell and atoms, written as POSCAR:
```
RbCdNF2
1.0
5.111 0.000 0.000
0.000 5.111 0.000
0.000 0.000 5.312
Rb Cd N F
1 1 1 2
Direct
0.000 0.000 0.000
0.500 0.500 0.500
0.000 0.000 0.500
0.000 0.500 0.000
0.500 0.000 0.000
```

***

What should be chosen as the least stable of them? Choose entry ii.